# 1
Density functional theory data (GGA-PBEsol) for crystalline TlPdN2F at its relaxed geometry.

Geometry as CIF:
```
data_TlPdN2F
_chemical_formula_sum 'Tl1 Pd1 N2 F1'
_cell_length_a 3.746
_cell_length_b 3.746
_cell_length_c 5.610
_cell_angle_alpha 90.00
_cell_angle_beta 90.00
_cell_angle_gamma 90.00
_space_group_name_H-M_alt 'P 4/m m m'
_space_group_IT_number 123
_space_group_name_Hall '-P 4 2'
loop_
_atom_site_label
_atom_site_type_symbol
_atom_site_fract_x
_atom_site_fract_y
_atom_site_fract_z
Tl1 Tl 0.000 0.000 0.000
Pd1 Pd 0.500 0.500 0.500
N1 N 0.000 0.500 0.500
F1 F 0.500 0.500 0.000
```

energy relative to the elements, uncorrected: 2.9 eV per formula unit
V: 15.7 Å³/atom


# 2
Density functional theory data (GGA-PBEsol) for crystalline TlPdNF2 at its relaxed geometry.

Geometry as CIF:
```
data_TlPdNF2
_chemical_formula_sum 'Tl1 Pd1 N1 F2'
_cell_length_a 4.412
_cell_length_b 4.412
_cell_length_c 4.214
_cell_angle_alpha 90.00
_cell_angle_beta 90.00
_cell_angle_gamma 90.00
_space_group_name_H-M_alt 'P 4/m m m'
_space_group_IT_number 123
_space_group_name_Hall '-P 4 2'
loop_
_atom_site_label
_atom_site_type_symbol
_atom_site_fract_x
_atom_site_fract_y
_atom_site_fract_z
Tl1 Tl 0.000 0.000 0.000
Pd1 Pd 0.500 0.500 0.500
N1 N 0.000 0.000 0.500
F1 F 0.000 0.500 0.000
```

energy relative to the elements, uncorrected: 1.4 eV per formula unit
V: 16.4 Å³/atom


# 3
Density functional theory data (GGA-PBEsol) for crystalline Pt3NF at its relaxed geometry.

Geometry as CIF:
```
data_Pt3NF
_chemical_formula_sum 'Pt3 N1 F1'
_cell_length_a 4.070
_cell_length_b 4.070
_cell_length_c 4.070
_cell_angle_alpha 90.00
_cell_angle_beta 90.00
_cell_angle_gamma 90.00
_space_group_name_H-M_alt 'P m -3 m'
_space_group_IT_number 221
_space_group_name_Hall '-P 4 2 3'
loop_
_atom_site_label
_atom_site_type_symbol
_atom_site_fract_x
_atom_site_fract_y
_atom_site_fract_z
Pt1 Pt 0.000 0.000 0.500
N1 N 0.000 0.000 0.000
F1 F 0.500 0.500 0.500
```

energy relative to the elements, uncorrected: 2.7 eV per formula unit
V: 13.5 Å³/atom


Number 1: DOS(E_F) 3.56 states/eV/cell, M_tot 0.00 μB per formula unit, calculated density 7.546 g/cm3. Number 2: DOS(E_F) 7.15 states/eV/cell, M_tot 2.03 μB per formula unit, calculated density 7.346 g/cm3. Number 3: DOS(E_F) 6.10 states/eV/cell, M_tot 0.00 μB per formula unit, calculated density 15.226 g/cm3.